Co2PtRh after structural relaxation. Source: Alexandria, functional PBE.

The calculated total energy comes out at -6.9070 eV per atom. As for the formation enthalpy at 0 K: -6 meV/atom. Its density of states at the Fermi level is 1.47 states/eV per atom. For the density, the calculation gives 13149 kg/m³.

The space group is P4mm (No. 99) and the conventional cell measures 2.684, 2.684 and 7.292 Å, with angles of 90.00, 90.00 and 90.00 degrees. The asymmetric unit holds Co at (0.000, 0.000, 0.000), Co at (0.500, 0.500, 0.218), Pt at (0.000, 0.000, 0.472) and Rh at (0.500, 0.500, 0.757).